The following is a DFT calculation (PBE) of crystalline TaRuS3 at its relaxed geometry.

The symmetry is Pm-3m. For the volume, the calculation gives 92 Å³ per cell. For the total energy, the calculation gives -29.67 eV per cell. Its formation energy (no corrections) is 0.768 eV per atom. For the total magnetic moment, the calculation gives 0.00 μB/f.u.

abc: 4.5086 4.5086 4.5086
angles: 90.00 90.00 90.00
Last column: nearest neighbours and their distance in Å.
Positions (direct):
Ta 0.0000 0.0000 0.0000  12 S 3.19
Ru 0.5000 0.5000 0.5000  6 S 2.25
S 0.0000 0.5000 0.5000  2 Ru 2.25
S 0.5000 0.0000 0.5000  2 Ru 2.25
S 0.5000 0.5000 0.0000  2 Ru 2.25